First-principles (PBE-GGA) data for a relaxed structure of TlReTc, as listed in Alexandria.

Unit cell a=2.9152 b=2.9152 c=7.1117 alpha=90.00 beta=90.00 gamma=120.00
Fractional positions:
Tl 0.0000 0.0000 0.0000
Re 0.6667 0.3333 0.3636
Tc 0.3333 0.6667 0.6444

## Properties
Volume   17.45 Å³/atom
Final energy   -7.84 eV/atom
Energy relative to the elements   54 kJ/mol of atoms
Symmetry   P3m1
Crystal system   trigonal
E above lowest polymorph   86 meV/atom